8
Lattice="10.620 0.000 0.000 0.000 10.620 0.000 5.310 5.310 2.362" Properties=species:S:1:pos:R:3 comment="La2ReSi (PBE, relaxed)" rho_g_cm3=6.13 raw_formation_energy_ev_per_atom=0.082 e_tot_ev_per_cell=-54.80 pbc="T T T"
Re 0.000 0.000 0.000
Re 10.620 5.310 1.181
Si 5.310 5.310 0.000
Si 5.310 10.620 1.181
La 9.803 2.655 0.591
La 11.437 7.965 0.591
La 7.965 6.127 1.772
La 13.275 4.493 1.772


5
Lattice="5.471 0.000 0.000 0.000 5.471 0.000 0.000 0.000 5.471" Properties=species:S:1:pos:R:3 comment="YHfSb3 (PBE, relaxed)" rho_g_cm3=6.41 raw_formation_energy_ev_per_atom=0.037 e_above_lowest_polymorph_ev_per_fu=3.47 e_tot_ev_per_cell=-28.60 pbc="T T T"
Y 2.736 2.736 2.736
Sb 0.000 2.736 0.000
Sb 0.000 0.000 2.736
Sb 2.736 0.000 0.000
Hf 0.000 0.000 0.000


4
Lattice="-0.570 1.318 -2.498 2.455 -2.944 -2.113 -1.633 -4.562 -2.034" Properties=species:S:1:pos:R:3 comment="Ni2OsSe (PBE, relaxed)" rho_g_cm3=12.07 raw_formation_energy_ev_per_atom=0.440 e_tot_ev_per_cell=-24.52 pbc="T T T"
Ni 0.000 0.000 0.000
Ni 0.943 -0.813 -2.305
Os 0.127 -3.094 -3.322
Se -0.816 -2.281 -1.017


4
Lattice="-1.001 -4.323 -0.016 3.547 -2.662 0.129 -1.649 3.394 2.334" Properties=species:S:1:pos:R:3 comment="Be2SiRu (PBE, relaxed)" rho_g_cm3=5.65 raw_formation_energy_ev_per_atom=-0.303 e_tot_ev_per_cell=-23.36 pbc="T T T"
Ru -0.689 -2.210 1.188
Si 1.586 -1.380 1.260
Be 2.546 -6.983 0.114
Be 1.274 -3.494 0.057


4
Lattice="-3.199 -2.283 2.075 -1.558 -1.385 -3.925 3.963 -5.288 0.292" Properties=species:S:1:pos:R:3 comment="Ca2MgTe (PBE, relaxed)" rho_g_cm3=2.95 raw_formation_energy_ev_per_atom=-0.541 e_above_lowest_polymorph_ev_per_fu=0.69 e_tot_ev_per_cell=-10.90 pbc="T T T"
Ca 3.752 -5.007 0.277
Ca -1.184 -3.428 -0.837
Mg 1.753 -2.339 0.129
Te 0.829 -6.114 -0.689


4
Lattice="-2.431 -0.216 -2.001 1.887 -1.336 -2.148 -1.712 -6.966 2.830" Properties=species:S:1:pos:R:3 comment="BaCrRh2 (PBE, relaxed)" rho_g_cm3=8.54 e_above_lowest_polymorph_ev_per_fu=0.46 e_form_ev_per_atom=0.199 e_tot_ev_per_cell=-25.45 pbc="T T T"
Ba -0.700 -2.517 -1.367
Cr -1.556 -6.000 0.048
Rh -1.593 -6.483 2.634
Rh -0.975 -3.966 1.611


4
Lattice="-3.834 0.288 -2.615 0.263 -0.676 -4.593 -2.918 -10.355 -0.995" Properties=species:S:1:pos:R:3 comment="Ba2NaZn (PBE, relaxed)" rho_g_cm3=3.08 e_form_ev_per_atom=0.022 e_tot_ev_per_cell=-6.35 pbc="T T T"
Ba -2.576 -8.333 -1.274
Ba -1.533 -2.160 -2.123
Na -3.241 -5.351 -4.105
Zn -2.383 -0.271 -4.804


6
Lattice="-2.061 0.910 -3.927 6.736 -4.590 0.615 -5.831 -5.821 1.709" Properties=species:S:1:pos:R:3 comment="RbNaGa (PBE, relaxed)" rho_g_cm3=2.33 e_above_lowest_polymorph_ev_per_fu=0.00 e_form_ev_per_atom=-0.017 e_tot_ev_per_cell=-10.73 pbc="T T T"
Rb 0.230 -4.076 -2.295
Rb -1.588 -7.044 0.596
Na -2.702 -1.159 -2.677
Na -5.392 -5.373 0.368
Ga -5.056 -3.081 -1.889
Ga -3.040 -3.451 -0.423


5
Lattice="-0.498 4.232 1.631 -4.359 -0.791 0.720 0.966 -1.504 4.198" Properties=species:S:1:pos:R:3 comment="HfZnOs2Au (PBE, relaxed)" rho_g_cm3=14.60 e_form_ev_per_atom=1.089 e_tot_ev_per_cell=-31.52 pbc="T T T"
Os 0.483 -0.752 2.099
Os -0.249 2.116 0.815
Zn 0.000 0.000 0.000
Hf -1.946 0.969 3.274
Au -2.179 -0.395 0.360


13
Lattice="-0.026 3.407 -5.357 1.838 -6.076 -0.112 -10.328 -3.089 -1.915" Properties=species:S:1:pos:R:3 comment="Sm6HoIn6 (PBE, relaxed)" rho_g_cm3=7.63 e_form_ev_per_atom=-0.320 e_tot_ev_per_cell=-53.49 pbc="T T T"
Sm -6.892 -2.061 -1.278
Sm -3.436 -1.027 -0.637
Sm 1.216 -2.915 -1.860
Sm 0.595 0.246 -3.608
Sm -3.947 -4.459 -2.817
Sm -4.569 -1.298 -4.566
Ho 0.000 0.000 0.000
In -6.865 -5.366 -1.499
In -7.797 -0.624 -4.121
In -6.878 -3.662 -4.177
In -2.557 0.943 -3.150
In -1.625 -3.799 -0.527
In -1.638 -2.095 -3.206


3
Lattice="-2.405 2.353 2.376 2.405 -2.353 2.376 2.405 2.353 -2.376" Properties=species:S:1:pos:R:3 comment="TaNiRu (PBE, relaxed)" rho_g_cm3=10.52 e_above_lowest_polymorph_ev_per_fu=3.99 e_form_ev_per_atom=1.030 e_tot_ev_per_cell=-23.82 pbc="T T T"
Ta 0.000 0.000 2.376
Ni 0.000 0.000 0.000
Ru 0.000 2.353 0.000


5
Lattice="6.106 0.000 0.000 0.000 6.106 0.000 0.000 0.000 5.879" Properties=species:S:1:pos:R:3 comment="SrLaTe2I (PBE, relaxed)" rho_g_cm3=4.61 raw_formation_energy_ev_per_atom=-0.714 e_above_lowest_polymorph_ev_per_fu=2.20 e_tot_ev_per_cell=-18.01 pbc="T T T"
I 0.000 0.000 2.940
Sr 0.000 0.000 0.000
Te 0.000 3.053 0.000
Te 3.053 0.000 0.000
La 3.053 3.053 2.940


12
Lattice="7.584 -0.224 0.000 -3.268 6.847 0.000 -2.158 -3.312 6.476" Properties=species:S:1:pos:R:3 comment="Ho4CoCu (PBE, relaxed)" rho_g_cm3=7.84 e_above_lowest_polymorph_ev_per_fu=0.91 e_form_ev_per_atom=-0.022 e_tot_ev_per_cell=-59.29 pbc="T T T"
Ho -2.644 4.210 4.514
Ho 2.617 0.525 4.570
Ho 3.285 2.705 1.276
Ho -2.210 6.029 1.332
Ho -1.010 0.786 5.200
Ho 0.983 3.948 5.144
Ho 4.849 -0.930 1.906
Ho -0.506 2.817 1.962
Co 3.245 4.980 0.000
Co 2.721 -1.755 3.238
Cu 1.071 1.644 0.000
Cu 4.863 1.532 3.238


4
Lattice="-0.860 -3.896 -0.303 -0.353 -2.234 3.301 -9.645 -0.033 1.372" Properties=species:S:1:pos:R:3 comment="Tb2HoSb (PBE, relaxed)" rho_g_cm3=7.65 raw_formation_energy_ev_per_atom=-0.327 e_above_lowest_polymorph_ev_per_fu=0.86 e_tot_ev_per_cell=-19.27 pbc="T T T"
Tb -7.747 -0.446 1.295
Tb -2.300 -1.631 1.076
Ho -5.420 -3.083 2.185
Sb -0.819 -4.085 1.999


11
Lattice="-1.384 -4.144 0.647 -0.076 -0.657 -4.366 8.520 -2.803 0.274" Properties=species:S:1:pos:R:3 comment="InCo2P8 (PBE, relaxed)" rho_g_cm3=4.56 e_form_ev_per_atom=0.347 e_tot_ev_per_cell=-56.41 pbc="T T T"
Co 2.998 -0.986 0.096
Co 5.523 -1.817 0.178
In 0.000 0.000 0.000
P 4.222 -1.730 -2.046
P 3.568 -3.473 0.460
P 1.803 -3.233 -1.778
P 5.258 -4.370 -1.667
P 1.897 -0.965 -2.121
P 1.243 -2.708 0.386
P 6.548 -2.495 -1.972
P 5.894 -4.238 0.535


8
Lattice="-3.218 -1.989 1.326 -1.158 -0.647 -3.783 3.245 -10.205 -1.371" Properties=species:S:1:pos:R:3 comment="HfReHg2 (PBE, relaxed)" rho_g_cm3=15.20 e_above_lowest_polymorph_ev_per_fu=0.28 e_form_ev_per_atom=0.618 e_tot_ev_per_cell=-41.07 pbc="T T T"
Re 0.000 0.000 0.000
Re -1.081 -6.756 -0.637
Hf -2.188 -1.318 -1.228
Hf -0.051 -6.085 -3.191
Hg -1.381 -3.898 0.028
Hg -0.278 -3.182 -2.556
Hg 0.806 -8.635 -1.907
Hg -1.408 -9.967 -3.221


16
Lattice="6.393 0.000 0.000 0.000 7.395 0.000 0.000 0.000 11.871" Properties=species:S:1:pos:R:3 comment="PmPr3Sm4 (PBE, relaxed)" rho_g_cm3=6.92 e_above_lowest_polymorph_ev_per_fu=0.15 e_form_ev_per_atom=0.033 e_tot_ev_per_cell=-75.40 pbc="T T T"
Pm 0.944 2.755 0.000
Pm 4.140 4.639 5.936
Pr 4.142 4.630 0.000
Pr 6.274 4.632 2.966
Pr 3.077 2.762 2.969
Pr 0.945 2.765 5.936
Pr 3.077 2.762 8.902
Pr 6.274 4.632 8.905
Sm 0.950 6.482 0.000
Sm 4.146 0.910 0.000
Sm 6.266 0.911 2.960
Sm 3.070 6.483 2.976
Sm 0.949 6.485 5.936
Sm 4.147 0.913 5.936
Sm 3.070 6.483 8.895
Sm 6.266 0.911 8.911


3
Lattice="3.171 0.000 0.000 0.000 3.171 0.000 -1.585 -1.585 6.058" Properties=species:S:1:pos:R:3 comment="CeNbOs (PBE, relaxed)" rho_g_cm3=11.54 e_above_lowest_polymorph_ev_per_fu=0.14 e_form_ev_per_atom=-0.027 e_tot_ev_per_cell=-27.31 pbc="T T T"
Nb 0.000 0.000 3.689
Os 1.585 1.585 2.268
Ce 0.000 0.000 0.101


20
Lattice="-0.293 -3.835 -3.495 3.194 -5.932 6.241 -11.228 0.064 0.870" Properties=species:S:1:pos:R:3 comment="Er6In3Os (PBE, relaxed)" rho_g_cm3=9.96 e_above_lowest_polymorph_ev_per_fu=0.00 e_form_ev_per_atom=-0.353 e_tot_ev_per_cell=-100.71 pbc="T T T"
Er 0.445 -3.663 2.050
Er -8.773 -6.039 1.566
Er -1.468 -1.692 0.048
Er -6.859 -8.010 3.568
Er -5.367 -5.021 4.027
Er -2.961 -4.681 -0.412
Er -4.943 -2.199 0.895
Er -3.384 -7.503 2.721
Er -1.056 -5.999 4.738
Er -7.271 -3.704 -1.123
Er -9.331 -1.524 0.522
Er 1.004 -8.178 3.094
In -2.715 -3.976 2.659
In -5.612 -5.726 0.957
In -7.544 -3.299 2.320
In -0.783 -6.403 1.296
In -8.553 -5.505 4.825
In 0.226 -4.197 -1.209
Os -3.695 -6.620 5.642
Os -4.632 -3.082 -2.026


3
Lattice="-3.403 -0.035 -0.126 0.027 -3.398 0.225 1.542 1.972 3.834" Properties=species:S:1:pos:R:3 comment="NbCoAs (PBE, relaxed)" rho_g_cm3=8.34 e_form_ev_per_atom=-0.084 e_tot_ev_per_cell=-22.08 pbc="T T T"
Nb -0.083 0.146 2.209
Co -1.818 -1.488 3.514
As -1.723 -1.655 0.977


8
Lattice="-5.397 2.506 -3.643 2.659 -2.753 -5.834 -2.778 -2.477 -4.270" Properties=species:S:1:pos:R:3 comment="Cr2AgRh (PBE, relaxed)" rho_g_cm3=7.72 e_form_ev_per_atom=0.755 e_tot_ev_per_cell=-52.86 pbc="T T T"
Cr -3.592 0.537 -3.977
Cr 0.149 -1.960 -5.265
Cr -3.040 -2.023 -6.911
Cr -4.550 -2.000 -11.339
Rh -1.369 -0.123 -4.738
Rh -0.744 -2.677 -7.421
Ag 0.000 0.000 0.000
Ag -4.772 -0.047 -6.325


7
Lattice="-3.114 0.640 0.020 -1.543 0.224 5.066 1.434 6.937 1.257" Properties=species:S:1:pos:R:3 comment="Nb3V2W2 (PBE, relaxed)" rho_g_cm3=10.88 e_form_ev_per_atom=-0.011 e_tot_ev_per_cell=-74.43 pbc="T T T"
Nb 0.000 0.000 0.000
Nb -2.289 4.585 2.133
Nb -0.934 3.216 4.210
V -2.076 5.525 5.193
V -1.147 2.276 1.150
W -2.903 1.568 3.043
W -0.320 6.233 3.300


5
Lattice="-3.895 -3.101 1.281 0.952 -2.903 -4.134 3.217 -2.895 2.774" Properties=species:S:1:pos:R:3 comment="PRuBr3 (PBE, relaxed)" rho_g_cm3=4.55 raw_formation_energy_ev_per_atom=0.912 e_above_lowest_polymorph_ev_per_fu=1.15 e_tot_ev_per_cell=-15.15 pbc="T T T"
Ru 0.137 -4.449 -0.040
Br 0.476 -1.452 -2.067
Br 1.608 -1.447 1.387
Br -1.947 -1.550 0.640
P 0.000 0.000 0.000


4
Lattice="2.768 0.000 0.000 0.000 3.753 0.000 0.000 0.000 5.363" Properties=species:S:1:pos:R:3 comment="Cu2OsW (PBE, relaxed)" rho_g_cm3=14.94 e_above_lowest_polymorph_ev_per_fu=0.12 e_form_ev_per_atom=0.252 e_tot_ev_per_cell=-31.37 pbc="T T T"
Cu 0.000 0.000 0.106
Cu 1.384 1.876 1.243
Os 0.000 0.000 2.725
W 1.384 1.876 3.971


8
Lattice="-2.625 5.423 0.378 -1.117 -0.128 -5.931 -6.946 0.120 -1.767" Properties=species:S:1:pos:R:3 comment="NiAgBr2 (PBE, relaxed)" rho_g_cm3=5.16 raw_formation_energy_ev_per_atom=-0.081 e_above_lowest_polymorph_ev_per_fu=0.16 e_tot_ev_per_cell=-24.60 pbc="T T T"
Ni -1.871 2.648 -2.777
Ni -4.967 1.320 -5.238
Br -3.394 3.150 -0.965
Br -2.886 0.882 -4.084
Br -6.665 2.070 -3.686
Br -8.432 4.730 -5.907
Ag 0.000 0.000 0.000
Ag -5.721 4.096 -2.083